(1)
Below is Ba2LaHgO after structural relaxation, with properties calculated at the PBE level.

```
5
Lattice="5.799 0.000 0.000 0.000 5.799 0.000 0.000 0.000 4.756" Properties=species:S:1:pos:R:3 pbc="T T T"
Ba 0.000 2.899 0.000
Ba 2.899 0.000 0.000
La 0.000 0.000 2.378
Hg 2.899 2.899 2.378
O 0.000 0.000 0.000
```

Values from the calculation:
Crystal system: tetragonal
Calculated volume in Å³ per cell: 159.9
Total energy in eV/atom: -3.99
M_tot in Bohr magnetons per cell: 0.000

(2)
Below is BaLa2HgO after structural relaxation, with properties calculated at the PBE level.

```
5
Lattice="5.060 0.000 0.000 0.000 5.060 0.000 0.000 0.000 5.516" Properties=species:S:1:pos:R:3 pbc="T T T"
Ba 0.000 0.000 0.000
La 0.000 2.530 2.758
La 2.530 0.000 2.758
Hg 2.530 2.530 0.000
O 0.000 0.000 2.758
```

Values from the calculation:
Crystal system: tetragonal
Calculated volume in Å³ per cell: 141.2
Total energy in eV/atom: -4.62
Polymorph energy (0 for the lowest one) in meV per atom: 0.0
M_tot in Bohr magnetons per cell: 0.000

(3)
Below is BaLaHgO2 after structural relaxation, with properties calculated at the PBE level.

```
5
Lattice="4.737 0.000 0.000 0.000 4.737 0.000 0.000 0.000 5.640" Properties=species:S:1:pos:R:3 pbc="T T T"
Ba 0.000 0.000 0.000
La 2.368 2.368 0.000
Hg 0.000 0.000 2.820
O 0.000 2.368 2.820
O 2.368 0.000 2.820
```

Values from the calculation:
Crystal system: tetragonal
Calculated volume in Å³ per cell: 126.5
Total energy in eV/atom: -3.19
M_tot in Bohr magnetons per cell: 0.000

(4)
Below is BaLa2HgO after structural relaxation, with properties calculated at the PBE level.

```
5
Lattice="4.887 0.000 0.000 0.000 4.887 0.000 0.000 0.000 7.087" Properties=species:S:1:pos:R:3 pbc="T T T"
Ba 0.000 0.000 0.000
La 0.000 2.444 3.544
La 2.444 0.000 3.544
Hg 2.444 2.444 0.000
O 2.444 2.444 3.544
```

Values from the calculation:
Crystal system: tetragonal
Calculated volume in Å³ per cell: 169.3
Total energy in eV/atom: -4.40
Polymorph energy (0 for the lowest one) in meV per atom: 218.4
M_tot in Bohr magnetons per cell: 0.001

(5)
Below is BaLa2HgOs after structural relaxation, with properties calculated at the PBE level.

```
5
Lattice="5.520 0.000 0.000 0.000 5.520 0.000 0.000 0.000 5.621" Properties=species:S:1:pos:R:3 pbc="T T T"
Ba 0.000 0.000 0.000
La 0.000 2.760 2.811
La 2.760 0.000 2.811
Hg 2.760 2.760 0.000
Os 2.760 2.760 2.811
```

Values from the calculation:
Crystal system: tetragonal
Calculated volume in Å³ per cell: 171.3
Total energy in eV/atom: -4.71
M_tot in Bohr magnetons per cell: 0.000

(6)
Below is BaLaHgPd after structural relaxation, with properties calculated at the PBE level.

```
4
Lattice="0.000 3.915 3.915 3.915 0.000 3.915 3.915 3.915 0.000" Properties=species:S:1:pos:R:3 pbc="T T T"
Ba 0.000 0.000 0.000
La 3.915 3.915 3.915
Hg 1.958 1.958 1.958
Pd 5.873 5.873 5.873
```

Values from the calculation:
Crystal system: cubic
Calculated volume in Å³ per cell: 120.0
Total energy in eV/atom: -3.53
M_tot in Bohr magnetons per cell: 0.000